(1)
Here is crystalline ScRuW2 at its relaxed geometry from Alexandria. Energies are from GGA-PBE.

Structure (POSCAR):
```
ScRuW2
1.0
9.419 0.000 0.000
8.977 2.850 0.000
8.977 1.391 2.488
W Ru Sc
2 1 1
direct
0.505 0.505 0.505
0.995 0.995 0.995
0.250 0.250 0.250
0.750 0.750 0.750
```

Results
SG: No. 166
E_form, eV/atom: 0.287

---

(2)
Here is crystalline Ir2SeCl at its relaxed geometry from Alexandria. Energies are from GGA-PBE.

Structure (POSCAR):
```
Ir2SeCl
1.0
-0.260 -4.735 6.727
2.748 -4.221 6.509
0.942 -2.170 7.883
Ir Cl Se
2 1 1
direct
0.506 0.506 0.506
0.994 0.994 0.994
0.750 0.750 0.750
0.250 0.250 0.250
```

Results
E_form (uncorrected), meV/atom: 595.9
SG: No. 166

---

(3)
Here is crystalline SrNiSeN2 at its relaxed geometry from Alexandria. Energies are from GGA-PBE.

Structure (POSCAR):
```
SrNiSeN2
1.0
4.731 0.000 0.000
0.000 4.731 0.000
0.000 0.000 6.169
Ni Sr Se N
1 1 1 2
direct
0.500 0.500 0.500
0.000 0.000 0.000
0.000 0.000 0.500
0.000 0.500 0.000
0.500 0.000 0.000
```

Results
E_form (uncorrected), meV/atom: 1811.8
SG: No. 123

---

(4)
Here is crystalline Ti2AgTe2 at its relaxed geometry from Alexandria. Energies are from GGA-PBE.

Structure (POSCAR):
```
Ti2AgTe2
1.0
7.566 0.000 0.000
0.000 7.566 0.000
0.000 0.000 3.622
Te Ti Ag
4 4 2
direct
0.844 0.344 0.500
0.344 0.156 0.500
0.156 0.656 0.500
0.656 0.844 0.500
0.363 0.863 0.000
0.137 0.363 0.000
0.863 0.637 0.000
0.637 0.137 0.000
0.000 0.000 0.000
0.500 0.500 0.000
```

Results
E_form (uncorrected), meV/atom: -344.7
SG: No. 127

---

(5)
Here is crystalline ZnCo2Ru at its relaxed geometry from Alexandria. Energies are from GGA-PBE.

Structure (POSCAR):
```
ZnCo2Ru
1.0
-0.186 0.552 2.558
0.545 -2.500 0.579
6.854 1.533 0.167
Co Ru Zn
2 1 1
direct
0.000 0.000 0.254
0.000 0.000 0.746
0.500 0.500 0.500
0.500 0.500 0.000
```

Results
SG: No. 123
E_form, eV/atom: 0.054

---

(6)
Here is crystalline Tm2GaIr3 at its relaxed geometry from Alexandria. Energies are from GGA-PBE.

Structure (POSCAR):
```
Tm2GaIr3
1.0
4.554 0.000 0.000
0.000 5.383 0.000
-2.277 -2.691 4.765
Ga Tm Ir
1 2 3
direct
0.000 0.500 0.000
0.685 0.185 0.370
0.315 0.815 0.630
0.364 0.364 0.728
0.636 0.636 0.272
0.000 0.000 0.000
```

Results
SG: No. 71
E_form, eV/atom: -0.347

---

(7)
Here is crystalline ScCo2Ni2 at its relaxed geometry from Alexandria. Energies are from GGA-PBE.

Structure (POSCAR):
```
ScCo2Ni2
1.0
-1.767 1.767 5.437
1.767 -1.767 5.437
1.767 1.767 -5.437
Co Ni Sc
2 2 1
direct
0.250 0.750 0.500
0.750 0.250 0.500
0.605 0.605 0.000
0.395 0.395 0.000
0.000 0.000 0.000
```

Results
SG: No. 139
E_form, eV/atom: -0.078

---

(8)
Here is crystalline SrBeCo2 at its relaxed geometry from Alexandria. Energies are from GGA-PBE.

Structure (POSCAR):
```
SrBeCo2
1.0
5.117 0.283 0.098
1.497 4.901 -0.098
-2.469 -3.660 2.603
Co Sr Be
2 1 1
direct
0.442 0.442 0.000
0.058 0.058 0.000
0.750 0.250 0.500
0.250 0.750 0.500
```

Results
SG: No. 71
E_form, eV/atom: 0.649

---

(9)
Here is crystalline NaNdAu4 at its relaxed geometry from Alexandria. Energies are from GGA-PBE.

Structure (POSCAR):
```
NaNdAu4
1.0
5.657 0.000 0.000
2.828 4.899 0.000
2.828 1.633 4.619
Na Au Nd
1 4 1
direct
0.250 0.250 0.250
0.624 0.624 0.624
0.624 0.127 0.624
0.624 0.624 0.127
0.127 0.624 0.624
0.000 0.000 0.000
```

Results
SG: No. 216
E_form, eV/atom: -0.463

---

(10)
Here is crystalline Ca3NdSm3Te8 at its relaxed geometry from Alexandria. Energies are from GGA-PBE.

Structure (POSCAR):
```
Ca3NdSm3Te8
1.0
8.882 0.000 0.000
-4.441 7.693 -0.028
0.000 -5.102 7.401
Ca Te Nd Sm
3 8 1 3
direct
0.500 0.500 0.000
0.000 0.000 0.000
0.000 0.500 0.000
0.254 0.998 0.752
0.750 0.500 0.750
0.746 0.002 0.248
0.745 0.998 0.752
0.254 0.508 0.753
0.746 0.492 0.247
0.250 0.500 0.250
0.255 0.002 0.248
0.000 0.000 0.500
0.000 0.500 0.500
0.500 0.000 0.500
0.500 0.500 0.500
```

Results
E_form (uncorrected), meV/atom: -1512.2
SG: No. 166

---

(11)
Here is crystalline Li2TcOs at its relaxed geometry from Alexandria. Energies are from GGA-PBE.

Structure (POSCAR):
```
Li2TcOs
1.0
4.940 -0.012 0.004
4.233 2.547 0.004
0.707 0.195 4.467
Li Tc Os
2 1 1
direct
0.002 0.002 0.998
0.498 0.498 0.502
0.250 0.250 0.250
0.750 0.750 0.750
```

Results
SG: No. 12
E_form, eV/atom: 0.227

---

(12)
Here is crystalline CeZr2U3P6 at its relaxed geometry from Alexandria. Energies are from GGA-PBE.

Structure (POSCAR):
```
CeZr2U3P6
1.0
-0.059 0.372 6.706
4.660 -3.691 -3.126
2.328 6.209 -1.448
Ce P Zr U
1 6 2 3
direct
0.000 0.000 0.000
0.264 0.264 0.758
0.917 0.573 0.752
0.427 0.083 0.248
0.573 0.917 0.752
0.083 0.427 0.248
0.736 0.736 0.242
0.332 0.668 0.000
0.668 0.332 0.000
0.837 0.163 0.500
0.500 0.500 0.500
0.163 0.837 0.500
```

Results
SG: No. 12
E_form, eV/atom: -1.211

---

(13)
Here is crystalline TcPbW2 at its relaxed geometry from Alexandria. Energies are from GGA-PBE.

Structure (POSCAR):
```
TcPbW2
1.0
-2.746 -0.774 0.355
1.355 0.322 2.515
-2.572 9.219 0.207
Tc W Pb
1 2 1
direct
0.500 0.500 0.750
0.000 0.000 0.967
0.000 0.000 0.533
0.500 0.500 0.250
```

Results
SG: No. 65
E_form, eV/atom: 0.775

---

(14)
Here is crystalline SrLa2ReIr at its relaxed geometry from Alexandria. Energies are from GGA-PBE.

Structure (POSCAR):
```
SrLa2ReIr
1.0
5.613 0.000 0.000
0.000 4.912 0.000
0.000 0.000 5.613
Re La Sr Ir
1 2 1 1
direct
0.000 0.000 0.000
0.000 0.000 0.500
0.500 0.000 0.000
0.500 0.500 0.500
0.000 0.500 0.000
```

Results
SG: No. 123
E_form, eV/atom: 0.251

---

(15)
Here is crystalline HfZr3Ni at its relaxed geometry from Alexandria. Energies are from GGA-PBE.

Structure (POSCAR):
```
HfZr3Ni
1.0
-0.377 -4.866 -1.482
5.049 -0.176 -0.707
0.624 -1.519 4.829
Ni Zr Hf
1 3 1
direct
0.500 0.500 0.500
0.000 0.500 0.000
0.500 0.000 0.000
0.000 0.000 0.500
0.000 0.000 0.000
```

Results
SG: No. 221
E_form, eV/atom: 1.412

---

(16)
Here is crystalline ZrTlTe3Rh at its relaxed geometry from Alexandria. Energies are from GGA-PBE.

Structure (POSCAR):
```
ZrTlTe3Rh
1.0
3.954 0.000 0.000
0.000 9.434 -0.220
0.000 -3.855 9.685
Te Zr Rh Tl
6 2 2 2
direct
0.750 0.211 0.523
0.250 0.789 0.477
0.750 0.906 0.128
0.250 0.094 0.872
0.250 0.541 0.861
0.750 0.459 0.139
0.250 0.706 0.173
0.750 0.294 0.827
0.750 0.906 0.386
0.250 0.094 0.614
0.250 0.234 0.244
0.750 0.766 0.756
```

Results
E_form (uncorrected), meV/atom: -583.9
SG: No. 11

---

(17)
Here is crystalline LiZn2Pt at its relaxed geometry from Alexandria. Energies are from GGA-PBE.

Structure (POSCAR):
```
LiZn2Pt
1.0
3.746 0.000 0.000
0.000 3.746 0.000
1.873 1.873 8.970
Pt Li Zn
2 2 4
direct
0.750 0.250 0.500
0.000 0.000 0.000
0.250 0.750 0.500
0.500 0.500 0.000
0.375 0.362 0.750
0.875 0.888 0.750
0.112 0.625 0.250
0.638 0.125 0.250
```

Results
SG: No. 122
E_form, eV/atom: -0.194

---

(18)
Here is crystalline RbCaSb2I at its relaxed geometry from Alexandria. Energies are from GGA-PBE.

Structure (POSCAR):
```
RbCaSb2I
1.0
6.029 0.000 0.000
0.000 6.029 0.000
0.000 0.000 6.370
Sb Rb I Ca
2 1 1 1
direct
0.500 0.000 0.000
0.000 0.500 0.000
0.000 0.000 0.000
0.000 0.000 0.500
0.500 0.500 0.500
```

Results
E_form (uncorrected), meV/atom: 478.2
SG: No. 123

---

(19)
Here is crystalline Ce2HoErTe5 at its relaxed geometry from Alexandria. Energies are from GGA-PBE.

Structure (POSCAR):
```
Ce2HoErTe5
1.0
-0.026 -5.067 2.170
1.081 -2.133 -4.966
11.273 0.839 2.094
Te Ce Er Ho
5 2 1 1
direct
0.500 0.500 0.000
0.000 0.000 0.244
0.000 0.000 0.756
0.000 0.500 0.500
0.500 0.000 0.500
0.500 0.500 0.682
0.500 0.500 0.318
0.000 0.000 0.000
0.000 0.000 0.500
```

Results
E_form (uncorrected), meV/atom: -809.0
SG: No. 123

---

(20)
Here is crystalline YMgCl2 at its relaxed geometry from Alexandria. Energies are from GGA-PBE.

Structure (POSCAR):
```
YMgCl2
1.0
6.671 -0.009 0.000
4.365 5.044 0.000
-5.518 -2.518 2.777
Mg Cl Y
1 2 1
direct
0.500 0.500 0.000
0.250 0.750 0.500
0.000 0.000 0.000
0.750 0.250 0.500
```

Results
E_form (uncorrected), meV/atom: -913.2
SG: No. 119

---

(21)
Here is crystalline Tb3Dy4Mg at its relaxed geometry from Alexandria. Energies are from GGA-PBE.

Structure (POSCAR):
```
Tb3Dy4Mg
1.0
3.358 0.000 -0.424
-0.092 5.808 -0.733
-0.083 0.333 12.863
Tb Dy Mg
3 4 1
direct
0.850 0.284 0.701
0.000 0.500 0.000
0.150 0.716 0.299
0.898 0.805 0.797
0.282 0.763 0.564
0.718 0.237 0.436
0.102 0.195 0.203
0.500 0.000 0.000
```

Results
SG: No. 12
E_form, eV/atom: 0.214

---

(22)
Here is crystalline Ti4H2O at its relaxed geometry from Alexandria. Energies are from GGA-PBE.

Structure (POSCAR):
```
Ti4H2O
1.0
-3.588 0.881 1.628
1.080 -1.886 3.402
0.508 3.551 4.203
Ti H O
4 2 1
direct
0.500 0.000 0.000
0.000 0.500 0.000
0.772 0.772 0.457
0.228 0.228 0.543
0.579 0.579 0.842
0.421 0.421 0.158
0.000 0.000 0.000
```

Results
SG: No. 139

---

(23)
Here is crystalline Co2AsRh at its relaxed geometry from Alexandria. Energies are from GGA-PBE.

Structure (POSCAR):
```
Co2AsRh
1.0
4.386 -0.001 0.026
3.470 2.681 0.026
0.795 0.271 4.396
Co As Rh
2 1 1
direct
0.255 0.255 0.206
0.996 0.996 0.027
0.748 0.748 0.755
0.501 0.501 0.512
```

Results
SG: No. 8
E_form, eV/atom: 0.006

---

(24)
Here is crystalline Ce2ErRu at its relaxed geometry from Alexandria. Energies are from GGA-PBE.

Structure (POSCAR):
```
Ce2ErRu
1.0
4.790 0.000 0.000
2.395 4.149 0.000
2.395 1.383 4.874
Ru Ce Er
1 2 1
direct
0.000 0.000 0.000
0.263 0.263 0.212
0.737 0.737 0.788
0.500 0.500 0.500
```

Results
SG: No. 166
E_form, eV/atom: 0.084

---

(25)
Here is crystalline CaSm3Tc at its relaxed geometry from Alexandria. Energies are from GGA-PBE.

Structure (POSCAR):
```
CaSm3Tc
1.0
3.889 0.000 0.000
0.000 8.855 -1.891
0.000 -0.118 9.032
Tc Sm Ca
2 6 2
direct
0.750 0.242 0.902
0.250 0.758 0.098
0.250 0.469 0.837
0.250 0.167 0.105
0.750 0.923 0.306
0.250 0.077 0.694
0.750 0.531 0.163
0.750 0.833 0.895
0.250 0.680 0.515
0.750 0.320 0.485
```

Results
SG: No. 11
E_form, eV/atom: 0.025

---

(26)
Here is crystalline TmPuCd2 at its relaxed geometry from Alexandria. Energies are from GGA-PBE.

Structure (POSCAR):
```
TmPuCd2
1.0
3.267 0.000 0.000
0.000 3.267 0.000
0.000 0.000 9.366
Cd Tm Pu
2 1 1
direct
0.000 0.000 0.759
0.000 0.000 0.241
0.500 0.500 0.000
0.500 0.500 0.500
```

Results
SG: No. 123
E_form, eV/atom: -0.118

---

| no. | volume (Å³/atom) | raw total energy (eV/atom) | ρ (g/cm³) |
| --- | --- | --- | --- |
| 1 | 16.70 | -10.09 | 12.8 |
| 2 | 16.29 | -5.17 | 12.7 |
| 3 | 27.62 | -3.71 | 3.0 |
| 4 | 20.73 | -5.33 | 7.3 |
| 5 | 12.08 | -6.14 | 9.8 |
| 6 | 19.46 | -6.77 | 14.0 |
| 7 | 13.59 | -6.50 | 6.8 |
| 8 | 15.76 | -4.26 | 5.6 |
| 9 | 21.33 | -3.66 | 12.4 |
| 10 | 33.63 | -4.85 | 5.7 |
| 11 | 14.10 | -6.13 | 8.9 |
| 12 | 20.83 | -8.66 | 8.1 |
| 13 | 18.36 | -9.22 | 15.2 |
| 14 | 30.95 | -6.32 | 8.0 |
| 15 | 26.54 | -6.86 | 6.4 |
| 16 | 29.83 | -5.20 | 7.2 |
| 17 | 15.73 | -2.82 | 8.8 |
| 18 | 46.31 | -2.07 | 3.6 |
| 19 | 38.81 | -4.89 | 5.9 |
| 20 | 23.39 | -3.85 | 3.3 |
| 21 | 31.44 | -4.02 | 7.6 |
| 22 | 11.01 | -6.96 | 4.5 |
| 23 | 12.91 | -6.55 | 9.5 |
| 24 | 24.22 | -6.34 | 9.4 |
| 25 | 31.02 | -5.28 | 6.3 |
| 26 | 25.00 | -5.28 | 10.6 |